# Pm3Ho6Mg, optimized geometry, DFT PBE
# calculated total energy = -248.45 eV for the cell shown
# E_form = 0.191 eV/atom
# volume = 32.4 Å³/atom
# DOS at the Fermi energy = 85.0 states/eV/cell
data_Pm3Ho6Mg
_cell_length_a 9.1410
_cell_length_b 9.1410
_cell_length_c 26.8409
_cell_angle_alpha 90.00
_cell_angle_beta 90.00
_cell_angle_gamma 120.00
_space_group_name_H-M_alt 'R -3'
_space_group_IT_number 148
_space_group_name_Hall '-R 3'
loop_
_atom_site_label
_atom_site_type_symbol
_atom_site_fract_x
_atom_site_fract_y
_atom_site_fract_z
Pm1 Pm 0.0589 0.2414 0.1672
Ho1 Ho 0.0349 0.2263 0.6067
Ho2 Ho 0.0641 0.2501 0.7273
Mg1 Mg 0.0000 0.0000 0.0000
Mg2 Mg 0.0000 0.0000 0.5000